No. 1
Computed, not measured: crystalline CoRuSe2I at its relaxed geometry at the PBE-GGA level of DFT.

CIF file:
```
data_CoRuSe2I
_symmetry_space_group_name_H-M 'P 4/m m m'
_symmetry_Int_Tables_number 123
_symmetry_space_group_name_Hall '-P 4 2'
_cell_length_a 4.7393
_cell_length_b 4.7393
_cell_length_c 5.2354
_cell_angle_alpha 90.00
_cell_angle_beta 90.00
_cell_angle_gamma 90.00
loop_
_atom_site_label
_atom_site_type_symbol
_atom_site_fract_x
_atom_site_fract_y
_atom_site_fract_z
Co1 Co 0.0000 0.0000 0.0000
Ru1 Ru 0.0000 0.0000 0.5000
Se1 Se 0.0000 0.5000 0.5000
I1 I 0.5000 0.5000 0.0000
```

Values from the calculation:
* uncorrected energy: -4.278 eV per atom
* V: 23.52 A^3/atom
* total magnetic moment: 2.8 μB per formula unit
* energy relative to the elements, uncorrected: 0.702 eV per atom
* density: 6.28 g/cm3


No. 2
Computed, not measured: crystalline CoSiRuI2 at its relaxed geometry at the PBE-GGA level of DFT.

CIF file:
```
data_CoSiRuI2
_symmetry_space_group_name_H-M 'P 4/m m m'
_symmetry_Int_Tables_number 123
_symmetry_space_group_name_Hall '-P 4 2'
_cell_length_a 5.0962
_cell_length_b 5.0962
_cell_length_c 4.4885
_cell_angle_alpha 90.00
_cell_angle_beta 90.00
_cell_angle_gamma 90.00
loop_
_atom_site_label
_atom_site_type_symbol
_atom_site_fract_x
_atom_site_fract_y
_atom_site_fract_z
Co1 Co 0.0000 0.0000 0.0000
Si1 Si 0.5000 0.5000 0.5000
Ru1 Ru 0.0000 0.0000 0.5000
I1 I 0.0000 0.5000 0.0000
```

Values from the calculation:
* uncorrected energy: -3.771 eV per atom
* V: 23.31 A^3/atom
* total magnetic moment: 0.0 μB per formula unit
* energy relative to the elements, uncorrected: 1.210 eV per atom
* density: 6.29 g/cm3


Q: Which of these has the lowest density?
A: CoRuSe2I


What did the second record say?
Computed, not measured: crystalline CoSiRuI2 at its relaxed geometry at the PBE-GGA level of DFT.

CIF file:
```
data_CoSiRuI2
_symmetry_space_group_name_H-M 'P 4/m m m'
_symmetry_Int_Tables_number 123
_symmetry_space_group_name_Hall '-P 4 2'
_cell_length_a 5.0962
_cell_length_b 5.0962
_cell_length_c 4.4885
_cell_angle_alpha 90.00
_cell_angle_beta 90.00
_cell_angle_gamma 90.00
loop_
_atom_site_label
_atom_site_type_symbol
_atom_site_fract_x
_atom_site_fract_y
_atom_site_fract_z
Co1 Co 0.0000 0.0000 0.0000
Si1 Si 0.5000 0.5000 0.5000
Ru1 Ru 0.0000 0.0000 0.5000
I1 I 0.0000 0.5000 0.0000
```

Values from the calculation:
* uncorrected energy: -3.771 eV per atom
* V: 23.31 A^3/atom
* total magnetic moment: 0.0 μB per formula unit
* energy relative to the elements, uncorrected: 1.210 eV per atom
* density: 6.29 g/cm3


Q: What is the density in the second record?
A: 6.29 g/cm3


Q: Which value of V does entry 2 give?
A: 23.31 A^3/atom